Entry 1:
## TlH6I (PBE-GGA)

Data for an optimized crystal structure of TlH6I.

It has space group C2/m (No. 12), with a = 6.872 Å, b = 8.362 Å, c = 6.224 Å, α = 90.00°, β = 117.92° and γ = 90.00°. Symmetry generates all atoms from Tl at (0.000, 0.000, 0.000), H at (0.009, 0.344, 0.065), H at (0.060, 0.000, 0.515) and I at (0.000, 0.500, 0.500).

The density of states at the Fermi level comes out at 0.000 states/eV/cell.



Entry 2:
## Tl4H2I3 (PBE-GGA)

Data for an optimized crystal structure of Tl4H2I3.

It has space group C2/c (No. 15), with a = 13.358 Å, b = 10.823 Å, c = 8.380 Å, α = 90.00°, β = 101.46° and γ = 90.00°. Symmetry generates all atoms from Tl at (0.131, 0.189, 0.022), Tl at (0.180, 0.448, 0.598), H at (0.201, 0.368, 0.964), I at (0.000, 0.389, 0.250) and I at (0.134, 0.125, 0.632).

The density of states at the Fermi level comes out at 13.053 states/eV/cell.



Entry 3:
## TlHI (PBE-GGA)

Data for an optimized crystal structure of TlHI.

It has space group P-1 (No. 2), with a = 3.980 Å, b = 6.615 Å, c = 6.616 Å, α = 89.97°, β = 89.99° and γ = 89.41°. Symmetry generates all atoms from Tl at (0.008, 0.250, 0.249), H at (0.492, 0.749, 0.751) and I at (0.003, 0.250, 0.749).

The offset from the most stable computed form is 88 meV per atom. The density of states at the Fermi level comes out at 0.874 states/eV/cell.



Entry 4:
## Tl3H4I (PBE-GGA)

Data for an optimized crystal structure of Tl3H4I.

It has space group P1 (No. 1), with a = 4.494 Å, b = 4.517 Å, c = 8.982 Å, α = 89.74°, β = 80.89° and γ = 89.75°. Symmetry generates all atoms from Tl at (0.000, 0.000, 0.000), Tl at (0.028, 0.997, 0.585), Tl at (0.516, 0.612, 0.293), H at (0.236, 0.394, 0.411), H at (0.336, 0.858, 0.170), H at (0.698, 0.855, 0.414), H at (0.798, 0.393, 0.175) and I at (0.513, 0.472, 0.792).

The density of states at the Fermi level comes out at 0.000 states/eV/cell.



Entry 5:
## Tl4H3I4 (PBE-GGA)

Data for an optimized crystal structure of Tl4H3I4.

It has space group Pm (No. 6), with a = 5.101 Å, b = 14.111 Å, c = 5.104 Å, α = 90.00°, β = 93.13° and γ = 90.00°. Symmetry generates all atoms from Tl at (0.000, 0.000, 0.000), Tl at (0.069, 0.500, 0.932), Tl at (0.470, 0.248, 0.532), H at (0.740, 0.250, 0.262), H at (0.797, 0.500, 0.204), I at (0.028, 0.250, 0.974), I at (0.494, 0.000, 0.506) and I at (0.512, 0.500, 0.488).

The density of states at the Fermi level comes out at 1.421 states/eV/cell.



Entry 6:
## TlHI3 (PBE-GGA)

Data for an optimized crystal structure of TlHI3.

It has space group Pm-3m (No. 221), with a = 6.079 Å, b = 6.079 Å, c = 6.079 Å, α = 90.00°, β = 90.00° and γ = 90.00°. Symmetry generates all atoms from Tl at (0.000, 0.000, 0.000), H at (0.500, 0.500, 0.500) and I at (0.000, 0.000, 0.500).

The offset from the most stable computed form is 607 meV per atom. The density of states at the Fermi level comes out at 5.160 states/eV/cell.



Entry 7:
## Tl3H2I3 (PBE-GGA)

Data for an optimized crystal structure of Tl3H2I3.

It has space group P-1 (No. 2), with a = 4.007 Å, b = 6.726 Å, c = 9.926 Å, α = 109.56°, β = 93.94° and γ = 90.88°. Symmetry generates all atoms from Tl at (0.000, 0.000, 0.000), Tl at (0.394, 0.671, 0.336), H at (0.105, 0.325, 0.654), I at (0.000, 0.500, 0.000) and I at (0.466, 0.845, 0.692).

The density of states at the Fermi level comes out at 2.158 states/eV/cell.



Entry 8:
## TlHI3 (PBE-GGA)

Data for an optimized crystal structure of TlHI3.

It has space group P-1 (No. 2), with a = 5.523 Å, b = 8.753 Å, c = 9.317 Å, α = 100.82°, β = 97.62° and γ = 99.98°. Symmetry generates all atoms from Tl at (0.211, 0.383, 0.291), H at (0.011, 0.310, 0.665), I at (0.235, 0.374, 0.829), I at (0.259, 0.958, 0.029) and I at (0.272, 0.737, 0.530).

The offset from the most stable computed form is 0 meV per atom. The density of states at the Fermi level comes out at 0.152 states/eV/cell.



Entry 9:
## Tl5H2I4 (PBE-GGA)

Data for an optimized crystal structure of Tl5H2I4.

It has space group P2/m (No. 10), with a = 9.240 Å, b = 4.540 Å, c = 9.244 Å, α = 90.00°, β = 99.37° and γ = 90.00°. Symmetry generates all atoms from Tl at (0.000, 0.000, 0.000), Tl at (0.180, 0.000, 0.510), Tl at (0.493, 0.000, 0.820), H at (0.393, 0.000, 0.607), I at (0.205, 0.500, 0.798) and I at (0.254, 0.500, 0.256).

The density of states at the Fermi level comes out at 2.056 states/eV/cell.



Entry 10:
## Tl3HI (PBE-GGA)

Data for an optimized crystal structure of Tl3HI.

It has space group Pm-3m (No. 221), with a = 5.287 Å, b = 5.287 Å, c = 5.287 Å, α = 90.00°, β = 90.00° and γ = 90.00°. Symmetry generates all atoms from Tl at (0.000, 0.000, 0.500), H at (0.000, 0.000, 0.000) and I at (0.500, 0.500, 0.500).

The offset from the most stable computed form is 0 meV per atom. The density of states at the Fermi level comes out at 4.718 states/eV/cell.



Entry 11:
## Tl2HI (PBE-GGA)

Data for an optimized crystal structure of Tl2HI.

It has space group I-42d (No. 122), with a = 7.996 Å, b = 7.996 Å, c = 7.455 Å, α = 90.00°, β = 90.00° and γ = 90.00°. Symmetry generates all atoms from Tl at (0.141, 0.250, 0.125), H at (0.000, 0.000, 0.000) and I at (0.000, 0.000, 0.500).

The offset from the most stable computed form is 0 meV per atom. The density of states at the Fermi level comes out at 0.000 states/eV/cell.



Entry 12:
## Tl3H2I2 (PBE-GGA)

Data for an optimized crystal structure of Tl3H2I2.

It has space group P-1 (No. 2), with a = 3.932 Å, b = 5.501 Å, c = 9.734 Å, α = 73.60°, β = 78.41° and γ = 90.00°. Symmetry generates all atoms from Tl at (0.000, 0.000, 0.000), Tl at (0.374, 0.374, 0.251), H at (0.499, 0.228, 0.000) and I at (0.178, 0.177, 0.646).

The density of states at the Fermi level comes out at 2.392 states/eV/cell.



Computed final energy (eV per atom) in order:
-3.090, -2.489, -2.444, -2.620, -2.391, -1.678, -2.453, -2.286, -2.503, -2.367, -2.512, -2.438